# PBE with a Hubbard U V2PdO7, optimized geometry
data_V2PdO7
_cell_length_a 6.714
_cell_length_b 8.623
_cell_length_c 3.767
_cell_angle_alpha 90.00
_cell_angle_beta 90.00
_cell_angle_gamma 90.00
_symmetry_space_group_name_H-M 'C m m m'
_symmetry_Int_Tables_number 65
_symmetry_space_group_name_Hall '-C 2 2'
loop_
_atom_site_label
_atom_site_type_symbol
_atom_site_fract_x
_atom_site_fract_y
_atom_site_fract_z
V1 V 0.000 0.207 0.000
Pd1 Pd 0.000 0.500 0.500
O1 O 0.000 0.000 0.000
O2 O 0.000 0.253 0.500
O3 O 0.199 0.365 0.000
# - Final energy: -125.46 eV for the cell shown